(1)
This record from Alexandria via LeMat-Bulk describes a geometry-optimized AcTb3Au2 structure. The functional is PBE.

Output
Energy relative to the lowest polymorph listed for this composition   79 meV/atom
Formation energy from the elements   -496 meV per atom
Electronic total energy   -0.3372 Ry per atom

Lattice parameters (Å, degrees): 17.0417 5.2369 8.8843 90.00 117.90 90.00
Space group C2/m (No. 12)
Inequivalent atoms, fractional coordinates:
Ac  0.1375  0.0000  0.2091 (multiplicity 4)
Tb  0.0614  0.0000  0.7258 (multiplicity 4)
Tb  0.1152  0.5000  0.5078 (multiplicity 4)
Tb  0.1973  0.5000  0.9954 (multiplicity 4)
Au  0.0082  0.5000  0.8486 (multiplicity 4)
Au  0.2084  0.0000  0.6298 (multiplicity 4)

(2)
This record from Alexandria via LeMat-Bulk describes a geometry-optimized BAs2OsSe structure. The functional is PBE.

Output
Energy relative to the lowest polymorph listed for this composition   0 meV/atom
Electronic total energy   -0.3657 Ry per atom
Energy relative to the elements, uncorrected   1162 meV/atom

Lattice parameters (Å, degrees): 4.2418 4.2418 4.3206 90.00 90.00 90.00
Space group P4/mmm (No. 123)
Inequivalent atoms, fractional coordinates:
B  0.0000  0.0000  0.0000 (multiplicity 1)
As  0.0000  0.5000  0.0000 (multiplicity 2)
Os  0.5000  0.5000  0.5000 (multiplicity 1)
Se  0.0000  0.0000  0.5000 (multiplicity 1)

Among the records above, which one has the highest energy relative to the lowest polymorph listed for this composition?
AcTb3Au2

Copy entry 2 word for word.
This record from Alexandria via LeMat-Bulk describes a geometry-optimized BAs2OsSe structure. The functional is PBE.

Output
Energy relative to the lowest polymorph listed for this composition   0 meV/atom
Electronic total energy   -0.3657 Ry per atom
Energy relative to the elements, uncorrected   1162 meV/atom

Lattice parameters (Å, degrees): 4.2418 4.2418 4.3206 90.00 90.00 90.00
Space group P4/mmm (No. 123)
Inequivalent atoms, fractional coordinates:
B  0.0000  0.0000  0.0000 (multiplicity 1)
As  0.0000  0.5000  0.0000 (multiplicity 2)
Os  0.5000  0.5000  0.5000 (multiplicity 1)
Se  0.0000  0.0000  0.5000 (multiplicity 1)

Which value of electronic total energy does entry 2 give?
-0.3657 Ry per atom